Entry 1:
Here is a geometry-optimized Fe2SiP structure from Alexandria. Energies are from PBE.

```
4
Lattice="-2.492 2.469 2.106 -2.407 -1.538 2.930 0.780 0.824 3.931" Properties=species:S:1:pos:R:3 pbc="T T T"
Fe 0.000 0.000 0.000
Fe -1.030 0.439 2.242
P -2.059 0.877 4.483
Si -3.089 1.316 6.725
```

Output
Its electronic total energy is -6.773 eV/atom.

***

Entry 2:
Here is a geometry-optimized FeSi2P structure from Alexandria. Energies are from PBE.

```
4
Lattice="-4.379 -1.102 1.476 1.313 -2.242 2.222 0.181 2.456 2.371" Properties=species:S:1:pos:R:3 pbc="T T T"
Fe -1.533 -1.672 1.849
P -2.099 0.677 1.923
Si 0.000 0.000 0.000
Si 0.747 0.107 2.296
```

Output
Its electronic total energy is -5.783 eV/atom.

***

Entry 3:
Here is a geometry-optimized FeSi2P structure from Alexandria. Energies are from PBE.

```
4
Lattice="-1.364 0.033 -2.321 0.563 -2.583 -0.510 -5.768 -1.921 3.362" Properties=species:S:1:pos:R:3 pbc="T T T"
Fe -1.842 -1.755 -0.575
P -4.726 -2.716 1.105
Si -0.246 -0.082 0.143
Si -2.638 -0.879 1.538
```

Output
Its electronic total energy is -6.062 eV/atom.

***

Entry 4:
Here is a geometry-optimized FeSi2P structure from Alexandria. Energies are from PBE.

```
8
Lattice="-0.862 4.774 2.485 -2.976 1.674 -4.248 -5.888 1.429 1.191" Properties=species:S:1:pos:R:3 pbc="T T T"
P -1.919 3.224 -0.882
P -5.392 3.164 -1.969
Si -2.390 3.590 1.341
Si -3.433 1.960 -2.068
Si -5.830 3.476 0.268
Si -7.799 6.728 -0.685
Fe 0.000 0.000 0.000
Fe -4.334 4.714 1.397
```

Output
Its electronic total energy is -5.887 eV/atom.

***

Entry 5:
Here is a geometry-optimized FeSiP structure from Alexandria. Energies are from PBE.

```
12
Lattice="4.221 0.000 0.000 0.000 5.601 0.000 0.000 0.000 6.408" Properties=species:S:1:pos:R:3 pbc="T T T"
P 1.055 0.558 2.414
P 3.166 2.242 5.618
P 3.166 5.043 3.994
P 1.055 3.359 0.790
Si 1.055 1.960 4.314
Si 3.166 0.841 1.110
Si 3.166 3.642 2.094
Si 1.055 4.760 5.298
Fe 1.055 1.165 0.075
Fe 3.166 1.635 3.279
Fe 3.166 4.436 6.332
Fe 1.055 3.966 3.129
```

Output
The calculation puts the energy above the most stable polymorph in this dataset at 121 meV/atom. Its electronic total energy is -6.579 eV/atom.

***

Entry 6:
Here is a geometry-optimized FeSiP structure from Alexandria. Energies are from PBE.

```
3
Lattice="5.662 -0.005 0.005 5.039 2.582 0.011 0.623 0.144 2.583" Properties=species:S:1:pos:R:3 pbc="T T T"
Fe 10.624 2.559 0.037
P 4.307 1.034 1.645
Si 7.095 1.707 0.935
```

Output
The calculation puts the energy above the most stable polymorph in this dataset at 239 meV/atom. Its electronic total energy is -6.460 eV/atom.

***

Entry 7:
Here is a geometry-optimized FeSi2P structure from Alexandria. Energies are from PBE.

```
4
Lattice="-1.505 3.978 7.585 -3.954 2.863 7.197 -1.967 1.411 8.353" Properties=species:S:1:pos:R:3 pbc="T T T"
Fe -3.706 4.118 11.545
P -5.714 6.349 17.799
Si -7.393 8.215 23.030
Si -1.754 1.949 5.464
```

Output
Its electronic total energy is -6.047 eV/atom.

***

Entry 8:
Here is a geometry-optimized Fe2Si2P structure from Alexandria. Energies are from PBE.

```
10
Lattice="6.662 0.000 0.000 0.000 6.662 0.000 0.000 0.000 2.658" Properties=species:S:1:pos:R:3 pbc="T T T"
P 0.000 0.000 0.000
P 3.331 3.331 0.000
Si 0.921 4.252 1.329
Si 4.252 5.741 1.329
Si 5.741 2.410 1.329
Si 2.410 0.921 1.329
Fe 2.288 5.619 0.000
Fe 5.619 4.374 0.000
Fe 4.374 1.043 0.000
Fe 1.043 2.288 0.000
```

Output
Its electronic total energy is -6.763 eV/atom.

***

Entry 9:
Here is a geometry-optimized FeSi2P structure from Alexandria. Energies are from PBE.

```
4
Lattice="-3.563 -2.783 0.486 1.504 -3.513 2.464 -0.424 4.508 0.414" Properties=species:S:1:pos:R:3 pbc="T T T"
Fe -1.020 -3.119 1.461
P 0.043 -1.022 2.151
Si -0.012 -0.037 0.018
Si -2.523 -0.756 1.209
```

Output
Its electronic total energy is -5.890 eV/atom.

***

Entry 10:
Here is a geometry-optimized FeSi2TeP structure from Alexandria. Energies are from PBE.

```
5
Lattice="5.208 0.000 0.000 0.000 4.721 0.000 0.000 0.000 5.208" Properties=species:S:1:pos:R:3 pbc="T T T"
P 2.604 2.360 2.604
Si 0.000 0.000 2.604
Si 2.604 0.000 0.000
Te 0.000 0.000 0.000
Fe 0.000 2.360 0.000
```

Output
Its electronic total energy is -3.972 eV/atom.

***

Entry 11:
Here is a geometry-optimized TiFeSi2P structure from Alexandria. Energies are from PBE.

```
5
Lattice="-4.058 -0.007 2.463 -0.658 -4.113 -1.096 2.353 -1.409 3.874" Properties=species:S:1:pos:R:3 pbc="T T T"
P -1.181 -2.764 2.620
Si 1.177 -0.704 1.937
Si -2.029 -0.004 1.231
Fe -0.329 -2.056 -0.548
Ti 0.000 0.000 0.000
```

Output
Its electronic total energy is -5.369 eV/atom.

***

Entry 12:
Here is a geometry-optimized UFe2Si2P structure from Alexandria. Energies are from PBE.

```
6
Lattice="-3.851 -1.265 -0.913 1.120 -0.551 -3.963 1.369 -4.943 1.074" Properties=species:S:1:pos:R:3 pbc="T T T"
U 0.685 -2.472 0.537
Fe -1.925 -0.633 -0.456
Fe 0.560 -0.275 -1.981
Si -0.370 -4.500 -1.657
Si -0.991 -2.259 -2.144
P 0.000 0.000 0.000
```

Output
Its electronic total energy is -7.688 eV/atom.

***

no.,E_form (uncorrected) (eV per atom)
1,0.1666
2,0.3968
3,0.1179
4,0.2931
5,-0.1467
6,-0.0286
7,0.1324
8,-0.1271
9,0.2900
10,1.6002
11,1.1535
12,-0.2763